Mg12Sc6Cd: optimized geometry, GGA-PBE.

a = 11.0645 Å, b = 11.0645 Å, c = 12.8293 Å
α = 90.00°, β = 90.00°, γ = 120.00°
Space group R-3 (No. 148, hexagonal axes)
Inequivalent atoms, fractional coordinates:
Mg  0.0411  0.8543  0.3097 (multiplicity 18)
Mg  0.0556  0.2054  0.9098 (multiplicity 18)
Sc  0.0291  0.5954  0.2071 (multiplicity 18)
Cd  0.0000  0.0000  0.5000 (multiplicity 3)

Summary:
**Crystal system**: trigonal
**Total moment**: 0.0 μB per cell
**Raw total energy**: -173.1 eV per cell
**DOS at the Fermi energy**: 0.862 states/eV/atom

***

Ca2ZnGa3Rh4: optimized geometry, GGA-PBE.

a = 4.311 Å, b = 4.311 Å, c = 9.950 Å
α = 90.00°, β = 90.00°, γ = 90.00°
Space group P-4m2 (No. 115)
Inequivalent atoms, fractional coordinates:
Ca  0.000  0.500  0.240 (multiplicity 2)
Zn  0.000  0.000  0.500 (multiplicity 1)
Ga  0.000  0.500  0.876 (multiplicity 2)
Ga  0.500  0.500  0.500 (multiplicity 1)
Rh  0.000  0.000  0.000 (multiplicity 1)
Rh  0.000  0.500  0.628 (multiplicity 2)
Rh  0.500  0.500  0.000 (multiplicity 1)

Summary:
**Crystal system**: tetragonal
**Total moment**: 0.0 μB per cell
**Raw total energy**: -50.3 eV per cell
**DOS at the Fermi energy**: 0.352 states/eV/atom

***

Ca2TaPb: optimized geometry, GGA-PBE.

a = 4.514 Å, b = 4.514 Å, c = 10.236 Å
α = 90.00°, β = 90.00°, γ = 90.00°
Space group I4/mmm (No. 139)
Inequivalent atoms, fractional coordinates:
Ca  0.000  0.500  0.250 (multiplicity 4)
Ta  0.000  0.000  0.000 (multiplicity 2)
Pb  0.000  0.000  0.500 (multiplicity 2)

Summary:
**Crystal system**: tetragonal
**Total moment**: 2.9 μB per cell
**Raw total energy**: -35.6 eV per cell
**DOS at the Fermi energy**: 1.206 states/eV/atom